1.
The following is a PBE calculation of a geometry-optimized Ho5CdIn3 structure, from Alexandria.

The structure belongs to space group P6_3/mcm (No. 193); the cell edges are 9.2421, 9.2421 and 6.6351 Å and the angles 90.00°, 90.00° and 120.00°. The distinct sites, in fractional coordinates, are Ho at (0.0000, 0.2915, 0.2500), Ho at (0.3333, 0.6667, 0.0000), Cd at (0.0000, 0.0000, 0.0000) and In at (0.0000, 0.3708, 0.7500).

The value obtained for the density of states at the Fermi level is 14.163 states/eV/cell. The formation energy is -0.400 eV per atom. The total magnetic moment comes out at 0.00 μB per formula unit.

=====

2.
The following is a PBE calculation of a geometry-optimized Ho7Cd2In2 structure, from Alexandria.

The structure belongs to space group Cmmm (No. 65); the cell edges are 7.459, 11.118 and 8.113 Å and the angles 90.00°, 90.00° and 90.00°. The distinct sites, in fractional coordinates, are Ho at (0.000, 0.000, 0.000), Ho at (0.000, 0.500, 0.241), Ho at (0.250, 0.250, 0.293), Cd at (0.000, 0.283, 0.000) and In at (0.190, 0.000, 0.500).

The value obtained for the density of states at the Fermi level is 22.199 states/eV/cell. The formation energy is 0.020 eV per atom. The total magnetic moment comes out at 0.00 μB per formula unit.

=====

3.
The following is a PBE calculation of a geometry-optimized Ho8Cd2In structure, from Alexandria.

The structure belongs to space group C2/m (No. 12); the cell edges are 16.226, 5.275 and 8.469 Å and the angles 90.00°, 120.58° and 90.00°. The distinct sites, in fractional coordinates, are Ho at (0.066, 0.000, 0.221), Ho at (0.093, 0.500, 0.955), Ho at (0.139, 0.000, 0.686), Ho at (0.182, 0.500, 0.450), Cd at (0.225, 0.000, 0.115) and In at (0.000, 0.500, 0.500).

The value obtained for the density of states at the Fermi level is 21.447 states/eV/cell. The formation energy is -0.196 eV per atom. The total magnetic moment comes out at 0.00 μB per formula unit. The calculation puts the offset from the most stable computed form at 0 meV/atom.

=====

4.
The following is a PBE calculation of a geometry-optimized Ho2CdIn9 structure, from Alexandria.

The structure belongs to space group P4/mmm (No. 123); the cell edges are 4.668, 4.668 and 13.904 Å and the angles 90.00°, 90.00° and 90.00°. The distinct sites, in fractional coordinates, are Ho at (0.000, 0.000, 0.164), Cd at (0.000, 0.000, 0.500), In at (0.000, 0.500, 0.000), In at (0.000, 0.500, 0.336), In at (0.500, 0.500, 0.165) and In at (0.500, 0.500, 0.500).

The value obtained for the density of states at the Fermi level is 5.613 states/eV/cell. The formation energy is -0.223 eV per atom. The total magnetic moment comes out at 0.00 μB per formula unit.

=====

5.
The following is a PBE calculation of a geometry-optimized Ho7CdIn4 structure, from Alexandria.

The structure belongs to space group C2/m (No. 12); the cell edges are 14.370, 5.628 and 11.096 Å and the angles 90.00°, 127.36° and 90.00°. The distinct sites, in fractional coordinates, are Ho at (0.000, 0.000, 0.000), Ho at (0.070, 0.500, 0.329), Ho at (0.161, 0.000, 0.596), Ho at (0.217, 0.500, 0.869), Cd at (0.000, 0.500, 0.000), In at (0.065, 0.000, 0.776) and In at (0.202, 0.000, 0.339).

The value obtained for the density of states at the Fermi level is 27.703 states/eV/cell. The formation energy is -0.117 eV per atom. The total magnetic moment comes out at 0.01 μB per formula unit.

=====

6.
The following is a PBE calculation of a geometry-optimized HoCd2In structure, from Alexandria.

The structure belongs to space group P4/mmm (No. 123); the cell edges are 3.675, 3.675 and 7.379 Å and the angles 90.00°, 90.00° and 90.00°. The distinct sites, in fractional coordinates, are Ho at (0.000, 0.000, 0.000), Cd at (0.500, 0.500, 0.261) and In at (0.000, 0.000, 0.500).

The value obtained for the density of states at the Fermi level is 2.393 states/eV/cell. The formation energy is -0.164 eV per atom. The total magnetic moment comes out at 0.38 μB per formula unit.

=====

7.
The following is a PBE calculation of a geometry-optimized Ho3Cd5In structure, from Alexandria.

The structure belongs to space group P6_3/mcm (No. 193); the cell edges are 8.9498, 8.9498 and 6.3080 Å and the angles 90.00°, 90.00° and 120.00°. The distinct sites, in fractional coordinates, are Ho at (0.0000, 0.3212, 0.2500), Cd at (0.0000, 0.3471, 0.7500), Cd at (0.3333, 0.6667, 0.0000) and In at (0.0000, 0.0000, 0.0000).

The value obtained for the density of states at the Fermi level is 7.980 states/eV/cell. The formation energy is -0.286 eV per atom. The total magnetic moment comes out at 0.00 μB per formula unit.

=====

8.
The following is a PBE calculation of a geometry-optimized Ho11Cd9In4 structure, from Alexandria.

The structure belongs to space group Cmmm (No. 65); the cell edges are 16.283, 21.209 and 3.613 Å and the angles 90.00°, 90.00° and 90.00°. The distinct sites, in fractional coordinates, are Ho at (0.000, 0.000, 0.000), Ho at (0.000, 0.183, 0.000), Ho at (0.000, 0.360, 0.000), Ho at (0.226, 0.000, 0.000), Ho at (0.233, 0.170, 0.000), Cd at (0.000, 0.500, 0.500), Cd at (0.106, 0.090, 0.500), Cd at (0.121, 0.268, 0.500) and In at (0.149, 0.419, 0.500).

The value obtained for the density of states at the Fermi level is 40.597 states/eV/cell. The formation energy is -0.324 eV per atom. The total magnetic moment comes out at 0.83 μB per formula unit.

=====

9.
The following is a PBE calculation of a geometry-optimized Ho6CdIn5 structure, from Alexandria.

The structure belongs to space group P2/m (No. 10); the cell edges are 5.314, 7.398 and 8.406 Å and the angles 90.00°, 108.27° and 90.00°. The distinct sites, in fractional coordinates, are Ho at (0.000, 0.250, 0.000), Ho at (0.333, 0.249, 0.667), Cd at (0.500, 0.000, 0.000), In at (0.164, 0.000, 0.328), In at (0.167, 0.500, 0.334) and In at (0.500, 0.500, 0.000).

The value obtained for the density of states at the Fermi level is 7.165 states/eV/cell. The formation energy is -0.441 eV per atom. The total magnetic moment comes out at 0.00 μB per formula unit. The calculation puts the offset from the most stable computed form at 0 meV/atom.

=====

10.
The following is a PBE calculation of a geometry-optimized Ho3Cd2In structure, from Alexandria.

The structure belongs to space group P4/mmm (No. 123); the cell edges are 3.741, 3.741 and 11.152 Å and the angles 90.00°, 90.00° and 90.00°. The distinct sites, in fractional coordinates, are Ho at (0.000, 0.000, 0.000), Ho at (0.000, 0.000, 0.330), Cd at (0.500, 0.500, 0.164) and In at (0.500, 0.500, 0.500).

The value obtained for the density of states at the Fermi level is 6.159 states/eV/cell. The formation energy is -0.367 eV per atom. The total magnetic moment comes out at 0.00 μB per formula unit. The calculation puts the offset from the most stable computed form at 4 meV/atom.

=====

11.
The following is a PBE calculation of a geometry-optimized Ho5CdIn2 structure, from Alexandria.

The structure belongs to space group Cmcm (No. 63); the cell edges are 4.637, 11.043 and 17.314 Å and the angles 90.00°, 90.00° and 90.00°. The distinct sites, in fractional coordinates, are Ho at (0.000, 0.044, 0.099), Ho at (0.000, 0.346, 0.038), Ho at (0.000, 0.455, 0.250), Cd at (0.000, 0.170, 0.250) and In at (0.000, 0.243, 0.653).

The value obtained for the density of states at the Fermi level is 32.537 states/eV/cell. The formation energy is -0.219 eV per atom. The total magnetic moment comes out at 0.00 μB per formula unit.

=====

12.
The following is a PBE calculation of a geometry-optimized Ho3Cd3In2 structure, from Alexandria.

The structure belongs to space group Cmcm (No. 63); the cell edges are 4.725, 11.311 and 15.447 Å and the angles 90.00°, 90.00° and 90.00°. The distinct sites, in fractional coordinates, are Ho at (0.000, 0.081, 0.112), Ho at (0.000, 0.348, 0.250), Cd at (0.000, 0.378, 0.750), Cd at (0.000, 0.385, 0.035) and In at (0.000, 0.207, 0.611).

The value obtained for the density of states at the Fermi level is 19.289 states/eV/cell. The formation energy is -0.313 eV per atom. The total magnetic moment comes out at 0.00 μB per formula unit.

=====

Q: Which formula does entry 10 have?
A: Ho3Cd2In